[1]
AcNdTePb: relaxed, PBE.

Results
The space-group type is No. 160. For the formation energy (no corrections), the calculation gives -99.2 kJ per mole of atoms.

Lattice parameters (Å, degrees): 8.1195 8.1195 8.1195 33.62 33.62 33.62
Closest atoms and distances in Å follow each position.
Positions (direct):
Ac 0.0000 0.0000 0.0000  3 Pb 3.35, 3 Te 3.42
Nd 0.4945 0.4945 0.4945  3 Pb 3.22, 3 Te 3.29
Te 0.2427 0.2427 0.2427  3 Nd 3.29, 3 Ac 3.42
Pb 0.7524 0.7524 0.7524  3 Nd 3.22, 3 Ac 3.35

***

[2]
Y2WCl: relaxed, PBE.

Results
The space-group type is No. 122. For the formation energy (no corrections), the calculation gives 57.3 kJ per mole of atoms.

Lattice parameters (Å, degrees): 8.0271 8.0271 8.0271 135.84 135.84 64.23
Closest atoms and distances in Å follow each position.
Positions (direct):
Y 0.1095 0.6250 0.9845  2 W 2.68, 2 Cl 2.78
Y 0.3750 0.3595 0.4845  2 W 2.68, 2 Cl 2.78
Y 0.6405 0.1250 0.0155  2 W 2.68, 2 Cl 2.78
Y 0.8750 0.8905 0.5155  2 W 2.68, 2 Cl 2.78
W 0.0000 0.0000 0.0000  4 Y 2.68
W 0.7500 0.2500 0.5000  4 Y 2.68
Cl 0.2500 0.7500 0.5000  4 Y 2.78
Cl 0.5000 0.5000 0.0000  4 Y 2.78

***

[3]
KZnCdSn2: relaxed, PBE.

Results
The calculation puts the calculated formation energy at -0.128 eV per atom. The space-group type is No. 119.

Lattice parameters (Å, degrees): 6.9656 6.9656 6.9656 139.40 139.40 58.76
Closest atoms and distances in Å follow each position.
Positions (direct):
K 0.0000 0.0000 0.0000  8 Sn 3.71, 4 Cd 3.88, 4 Zn 3.88
Zn 0.2500 0.7500 0.5000  4 Sn 2.89
Cd 0.7500 0.2500 0.5000  4 Sn 2.89
Sn 0.3804 0.3804 0.0000  2 Cd 2.89, 2 Zn 2.89, 1 Sn 2.90
Sn 0.6196 0.6196 0.0000  2 Cd 2.89, 2 Zn 2.89, 1 Sn 2.90

***

[4]
Ta2AlAg2: relaxed, PBE.

Results
The calculation puts the calculated formation energy at 0.639 eV per atom. The space-group type is No. 139.

Lattice parameters (Å, degrees): 7.7521 7.7521 7.7521 152.45 152.45 39.35
Closest atoms and distances in Å follow each position.
Positions (direct):
Ta 0.2500 0.7500 0.5000  4 Ta 2.61
Ta 0.7500 0.2500 0.5000  4 Ta 2.61
Al 0.0000 0.0000 0.0000  8 Ag 2.94
Ag 0.4071 0.4071 0.0000  1 Ag 2.71, 4 Al 2.94, 4 Ta 2.94
Ag 0.5929 0.5929 0.0000  1 Ag 2.71, 4 Al 2.94, 4 Ta 2.94

***

[5]
TaTlS2: relaxed, PBE.

Results
The space-group type is No. 1. For the formation energy (no corrections), the calculation gives -76.2 kJ per mole of atoms.

Lattice parameters (Å, degrees): 3.3827 6.0277 9.2887 107.34 100.48 90.00
Closest atoms and distances in Å follow each position.
Positions (direct):
Ta 0.0000 0.0000 0.0000  6 S 2.47-2.60
Ta 0.4977 0.5790 0.9950  6 S 2.47-2.60
Tl 0.2289 0.3579 0.4662  3 S 3.07-3.35, 2 Tl 3.38
Tl 0.7638 0.8882 0.5384  4 S 3.20-3.35, 6 Tl 3.38-3.53
S 0.0760 0.4414 0.1514  3 Ta 2.51-2.60
S 0.4210 0.1383 0.8421  3 Ta 2.52-2.60
S 0.5952 0.9655 0.1906  3 Ta 2.47-2.48
S 0.9020 0.6131 0.8037  3 Ta 2.47-2.48

***

[6]
TbYHg: relaxed, PBE.

Results
The calculation puts the calculated formation energy at -0.190 eV per atom. The space-group type is No. 156.

Lattice parameters (Å, degrees): 5.1448 5.1448 3.7321 90.00 90.00 120.00
Closest atoms and distances in Å follow each position.
Positions (direct):
Tb 0.0000 0.0000 0.0000  3 Hg 3.12, 3 Y 3.44
Y 0.6667 0.3333 0.4634  3 Hg 3.15, 3 Tb 3.44
Hg 0.3333 0.6667 0.7413  3 Tb 3.12, 3 Y 3.15

***

[7]
ErPPt: relaxed, PBE.

Results
The calculation puts the calculated formation energy at -1.150 eV per atom. The space-group type is No. 12.

Lattice parameters (Å, degrees): 5.3727 5.3727 5.8640 101.71 101.71 45.73
Closest atoms and distances in Å follow each position.
Positions (direct):
Er 0.1163 0.1163 0.2702  4 P 2.78-2.93, 5 Pt 3.04-3.07
Er 0.8837 0.8837 0.7298  4 P 2.78-2.93, 5 Pt 3.04-3.07
P 0.1806 0.1806 0.7555  3 Pt 2.38-2.58
P 0.8194 0.8194 0.2445  3 Pt 2.38-2.58
Pt 0.3884 0.3884 0.1104  3 P 2.38-2.58
Pt 0.6116 0.6116 0.8896  3 P 2.38-2.58

***

[8]
Tb3Pr2SmAs6: relaxed, PBE.

Results
The calculation puts the calculated formation energy at -1.519 eV per atom. The space-group type is No. 12.

Lattice parameters (Å, degrees): 9.4081 9.4081 8.4146 102.89 102.89 25.86
Closest atoms and distances in Å follow each position.
Positions (direct):
Tb 0.0000 0.0000 0.0000  6 As 2.94-2.96
Tb 0.3331 0.3331 0.6663  6 As 2.93-2.96
Tb 0.6669 0.6669 0.3337  6 As 2.93-2.96
Pr 0.3339 0.3339 0.1675  6 As 3.01-3.03
Pr 0.6661 0.6661 0.8325  6 As 3.01-3.03
Sm 0.0000 0.0000 0.5000  6 As 2.99
As 0.1644 0.1644 0.0890  3 Tb 2.94, 3 Pr 3.02-3.03
As 0.1674 0.1674 0.5766  3 Tb 2.93-2.96, 1 Sm 2.99, 2 Pr 3.02
As 0.4975 0.4975 0.7516  3 Tb 2.93-2.96, 2 Sm 2.99, 1 Pr 3.01
As 0.5025 0.5025 0.2484  3 Tb 2.93-2.96, 2 Sm 2.99, 1 Pr 3.01
As 0.8326 0.8326 0.4234  3 Tb 2.93-2.96, 1 Sm 2.99, 2 Pr 3.02
As 0.8356 0.8356 0.9110  3 Tb 2.94, 3 Pr 3.02-3.03

***

[9]
Sr2Mg12In7: relaxed, PBE.

Results
The calculation puts the calculated formation energy at -0.151 eV per atom. The space-group type is No. 147.

Lattice parameters (Å, degrees): 11.7352 11.7352 4.6316 90.00 90.00 120.00
Closest atoms and distances in Å follow each position.
Positions (direct):
Sr 0.3333 0.6667 0.2542  6 In 3.53-3.56, 6 Mg 3.90-3.92
Sr 0.6667 0.3333 0.7458  6 In 3.53-3.56, 6 Mg 3.90-3.92
Mg 0.0422 0.4287 0.7521  4 In 2.94-2.98, 2 Mg 3.22-3.27
Mg 0.1145 0.2679 0.2424  4 In 2.98-3.03, 2 Mg 3.22-3.32
Mg 0.1534 0.8855 0.2424  4 In 2.98-3.03, 2 Mg 3.22-3.32
Mg 0.2679 0.1534 0.7576  4 In 2.98-3.03, 2 Mg 3.22-3.32
Mg 0.3865 0.9578 0.7521  4 In 2.94-2.98, 2 Mg 3.22-3.27
Mg 0.4287 0.3865 0.2479  4 In 2.94-2.98, 2 Mg 3.22-3.27
Mg 0.5713 0.6135 0.7521  4 In 2.94-2.98, 2 Mg 3.22-3.27
Mg 0.6135 0.0422 0.2479  4 In 2.94-2.98, 2 Mg 3.22-3.27
Mg 0.7321 0.8466 0.2424  4 In 2.98-3.03, 2 Mg 3.22-3.32
Mg 0.8466 0.1145 0.7576  4 In 2.98-3.03, 2 Mg 3.22-3.32
Mg 0.8855 0.7321 0.7576  4 In 2.98-3.03, 2 Mg 3.22-3.32
Mg 0.9578 0.5713 0.2479  4 In 2.94-2.98, 2 Mg 3.22-3.27
In 0.0000 0.0000 0.5000  6 Mg 2.98
In 0.1312 0.7125 0.7489  7 Mg 2.94-3.03
In 0.2875 0.4187 0.7489  7 Mg 2.94-3.03
In 0.4187 0.1312 0.2511  7 Mg 2.94-3.03
In 0.5813 0.8688 0.7489  7 Mg 2.94-3.03
In 0.7125 0.5813 0.2511  7 Mg 2.94-3.03
In 0.8688 0.2875 0.2511  7 Mg 2.94-3.03

***

[10]
AcSm3Ho7: relaxed, PBE.

Results
The calculation puts the calculated formation energy at 0.206 eV per atom. The space-group type is No. 156.

Lattice parameters (Å, degrees): 7.1076 7.1076 8.7433 90.00 90.00 120.00
Closest atoms and distances in Å follow each position.
Positions (direct):
Ac 0.0000 0.0000 0.0000  9 Ho 3.54-3.55, 3 Sm 3.63
Sm 0.1680 0.3361 0.6586  4 Sm 3.52-3.58, 5 Ho 3.54-3.62, 1 Ac 3.63
Sm 0.1680 0.8320 0.6586  4 Sm 3.52-3.58, 5 Ho 3.54-3.62, 1 Ac 3.63
Sm 0.6639 0.8320 0.6586  4 Sm 3.52-3.58, 5 Ho 3.54-3.62, 1 Ac 3.63
Ho 0.0022 0.5011 0.0010  7 Ho 3.49-3.58, 2 Ac 3.55, 2 Sm 3.62
Ho 0.3333 0.6667 0.3255  9 Ho 3.49-3.55, 3 Sm 3.55
Ho 0.3343 0.1672 0.3301  8 Ho 3.54-3.56, 2 Sm 3.54, 1 Ac 3.54
Ho 0.4989 0.5011 0.0010  7 Ho 3.49-3.58, 2 Ac 3.55, 2 Sm 3.62
Ho 0.4989 0.9978 0.0010  7 Ho 3.49-3.58, 2 Ac 3.55, 2 Sm 3.62
Ho 0.8328 0.1672 0.3301  8 Ho 3.54-3.56, 2 Sm 3.54, 1 Ac 3.54
Ho 0.8328 0.6657 0.3301  8 Ho 3.54-3.56, 2 Sm 3.54, 1 Ac 3.54

***

[11]
KCr2Cl: relaxed, PBE.

Results
The space-group type is No. 71. For the formation energy (no corrections), the calculation gives 40.2 kJ per mole of atoms.

Lattice parameters (Å, degrees): 6.8415 6.8415 6.8415 151.89 136.90 52.25
Closest atoms and distances in Å follow each position.
Positions (direct):
K 0.0000 0.0000 0.0000  4 Cl 3.01, 2 K 3.32
Cr 0.2802 0.7802 0.5000  6 Cr 3.10-3.32, 2 Cl 3.17
Cr 0.7198 0.2198 0.5000  6 Cr 3.10-3.32, 2 Cl 3.17
Cl 0.5000 0.5000 0.0000  4 K 3.01, 4 Cr 3.17, 2 Cl 3.32

***

[12]
K2GaAgH6: relaxed, PBE.

Results
The space-group type is No. 69. Its raw total energy is -2.87 eV per atom.

Lattice parameters (Å, degrees): 5.7126 5.5732 5.5390 61.87 59.36 58.77
Closest atoms and distances in Å follow each position.
Positions (direct):
K 0.2500 0.2500 0.2500  12 H 2.78-2.86
K 0.7500 0.7500 0.7500  12 H 2.78-2.86
Ga 0.0000 0.0000 0.0000  6 H 1.78-1.95
Ag 0.5000 0.5000 0.5000  2 H 1.87
H 0.2195 0.2195 0.7805  1 Ga 1.78
H 0.2222 0.7778 0.2222  1 Ga 1.78
H 0.2554 0.7446 0.7446  1 Ag 1.87, 1 Ga 1.95
H 0.7446 0.2554 0.2554  1 Ag 1.87, 1 Ga 1.95
H 0.7778 0.2222 0.7778  1 Ga 1.78
H 0.7805 0.7805 0.2195  1 Ga 1.78